A relaxed structure of Te3RuC, computed with PBE.

Output
**Uncorrected formation energy**: 1.772 eV per atom
**E**: -19.06 eV for the cell shown

The structure in CIF format:
```
data_Te3RuC
_cell_length_a 5.201
_cell_length_b 5.201
_cell_length_c 5.201
_cell_angle_alpha 90.00
_cell_angle_beta 90.00
_cell_angle_gamma 90.00
_space_group_name_H-M_alt 'P m -3 m'
_space_group_IT_number 221
_space_group_name_Hall '-P 4 2 3'
loop_
_atom_site_label
_atom_site_fract_x
_atom_site_fract_y
_atom_site_fract_z
_atom_site_occupancy
Te1 0.000 0.000 0.500 1
Ru1 0.000 0.000 0.000 1
C1 0.500 0.500 0.500 1
```